No. 1
First-principles (PBE) data for crystalline La4CeTh3P8 at its relaxed geometry, as listed in Alexandria.

For the raw total energy, the calculation gives -7.278 eV per atom. Its density of states at the Fermi level is 0.596 states/eV per atom. As for the spin magnetization: 2.3 μB/cell.

The structure belongs to space group R-3m (No. 166, hexagonal axes); the cell edges are 8.3941, 8.3941 and 20.6272 Å and the angles 90.00°, 90.00° and 120.00°. Symmetry generates all atoms from La at (0.0000, 0.0000, 0.0000), La at (0.0000, 0.5000, 0.0000), Ce at (0.0000, 0.0000, 0.5000), Th at (0.0000, 0.5000, 0.5000), P at (0.0000, 0.0000, 0.2466) and P at (0.0002, 0.5001, 0.2464).

=====

No. 2
First-principles (PBE) data for crystalline CaAc2TbTe5 at its relaxed geometry, as listed in Alexandria.

As for the energy relative to the elements, uncorrected: -1143 meV per atom. For the raw total energy, the calculation gives -4.538 eV per atom. Its density of states at the Fermi level is 0.447 states/eV per atom. As for the spin magnetization: 0.0 μB/cell.

The structure belongs to space group P4/mmm (No. 123); the cell edges are 5.575, 5.575 and 11.701 Å and the angles 90.00°, 90.00° and 90.00°. Symmetry generates all atoms from Ca at (0.000, 0.000, 0.000), Ac at (0.500, 0.500, 0.300), Tb at (0.000, 0.000, 0.500), Te at (0.000, 0.000, 0.245), Te at (0.000, 0.500, 0.500) and Te at (0.500, 0.500, 0.000).

=====

No. 3
First-principles (PBE) data for crystalline SbAuN3 at its relaxed geometry, as listed in Alexandria.

As for the energy relative to the elements, uncorrected: 2116 meV per atom. For the raw total energy, the calculation gives -4.359 eV per atom. Its density of states at the Fermi level is 0.572 states/eV per atom. As for the spin magnetization: 2.0 μB/cell.

The structure belongs to space group Pm-3m (No. 221); the cell edges are 4.091, 4.091 and 4.091 Å and the angles 90.00°, 90.00° and 90.00°. Symmetry generates all atoms from Sb at (0.000, 0.000, 0.000), Au at (0.500, 0.500, 0.500) and N at (0.000, 0.500, 0.500).

=====

No. 4
First-principles (PBE) data for crystalline Li4InSn3 at its relaxed geometry, as listed in Alexandria.

For the raw total energy, the calculation gives -3.109 eV per atom. Its density of states at the Fermi level is 0.438 states/eV per atom. As for the spin magnetization: 0.0 μB/cell.

The structure belongs to space group P4/mmm (No. 123); the cell edges are 3.429, 3.429 and 13.694 Å and the angles 90.00°, 90.00° and 90.00°. Symmetry generates all atoms from Li at (0.000, 0.000, 0.123), Li at (0.000, 0.000, 0.374), In at (0.500, 0.500, 0.000), Sn at (0.500, 0.500, 0.246) and Sn at (0.500, 0.500, 0.500).

=====

No. 5
First-principles (PBE) data for crystalline Er3Th4Sc4 at its relaxed geometry, as listed in Alexandria.

For the raw total energy, the calculation gives -6.052 eV per atom. Its density of states at the Fermi level is 1.673 states/eV per atom. As for the spin magnetization: 0.0 μB/cell.

The structure belongs to space group Immm (No. 71); the cell edges are 3.433, 9.148 and 21.050 Å and the angles 90.00°, 90.00° and 90.00°. Symmetry generates all atoms from Er at (0.000, 0.000, 0.000), Er at (0.000, 0.500, 0.106), Th at (0.000, 0.317, 0.350), Sc at (0.000, 0.000, 0.261) and Sc at (0.000, 0.183, 0.500).

=====

No. 6
First-principles (PBE) data for crystalline Na3Tc5O12 at its relaxed geometry, as listed in Alexandria.

As for the energy relative to the elements, uncorrected: -1386 meV per atom. For the raw total energy, the calculation gives -7.150 eV per atom. Its density of states at the Fermi level is 0.251 states/eV per atom. As for the spin magnetization: 16.1 μB/cell.

The structure belongs to space group Ia-3d (No. 230); the cell edges are 12.910, 12.910 and 12.910 Å and the angles 90.00°, 90.00° and 90.00°. Symmetry generates all atoms from Na at (0.000, 0.250, 0.125), Tc at (0.000, 0.000, 0.000), Tc at (0.000, 0.250, 0.375) and O at (0.031, 0.039, 0.647).

=====

No. 7
First-principles (PBE) data for crystalline Hf2TlSe2 at its relaxed geometry, as listed in Alexandria.

As for the energy relative to the elements, uncorrected: -580 meV per atom. For the raw total energy, the calculation gives -6.429 eV per atom. Its density of states at the Fermi level is 0.671 states/eV per atom. As for the spin magnetization: 0.0 μB/cell.

The structure belongs to space group P4/mbm (No. 127); the cell edges are 7.818, 7.818 and 3.418 Å and the angles 90.00°, 90.00° and 90.00°. Symmetry generates all atoms from Hf at (0.148, 0.352, 0.000), Tl at (0.000, 0.000, 0.000) and Se at (0.139, 0.639, 0.500).

=====

No. 8
First-principles (PBE) data for crystalline YSc2Ag at its relaxed geometry, as listed in Alexandria.

The value obtained for the distance to the lowest polymorph of the same formula is 0.152 eV/atom. For the raw total energy, the calculation gives -5.457 eV per atom. Its density of states at the Fermi level is 1.413 states/eV per atom. As for the spin magnetization: 0.0 μB/cell.

The structure belongs to space group R-3m (No. 166, hexagonal axes); the cell edges are 3.3697, 3.3697 and 30.2487 Å and the angles 90.00°, 90.00° and 120.00°. Symmetry generates all atoms from Y at (0.0000, 0.0000, 0.0000), Sc at (0.0000, 0.0000, 0.2413) and Ag at (0.0000, 0.0000, 0.5000).

=====

No. 9
First-principles (PBE) data for crystalline PbAuBr2 at its relaxed geometry, as listed in Alexandria.

The value obtained for the distance to the lowest polymorph of the same formula is 0.157 eV/atom. As for the energy relative to the elements, uncorrected: -193 meV per atom. For the raw total energy, the calculation gives -2.776 eV per atom. Its density of states at the Fermi level is 0.482 states/eV per atom. As for the spin magnetization: 0.0 μB/cell.

The structure belongs to space group R-3m (No. 166, hexagonal axes); the cell edges are 3.9034, 3.9034 and 28.7200 Å and the angles 90.00°, 90.00° and 120.00°. Symmetry generates all atoms from Pb at (0.0000, 0.0000, 0.0000), Au at (0.0000, 0.0000, 0.5000) and Br at (0.0000, 0.0000, 0.4145).

=====

No. 10
First-principles (PBE) data for crystalline Ca4LaAg5 at its relaxed geometry, as listed in Alexandria.

For the raw total energy, the calculation gives -3.023 eV per atom. Its density of states at the Fermi level is 0.765 states/eV per atom. As for the spin magnetization: 0.0 μB/cell.

The structure belongs to space group P4/mmm (No. 123); the cell edges are 3.747, 3.747 and 18.590 Å and the angles 90.00°, 90.00° and 90.00°. Symmetry generates all atoms from Ca at (0.000, 0.000, 0.098), Ca at (0.000, 0.000, 0.296), La at (0.000, 0.000, 0.500), Ag at (0.500, 0.500, 0.000), Ag at (0.500, 0.500, 0.196) and Ag at (0.500, 0.500, 0.396).

=====

No. 11
First-principles (PBE) data for crystalline AlHg2W at its relaxed geometry, as listed in Alexandria.

For the raw total energy, the calculation gives -3.787 eV per atom. Its density of states at the Fermi level is 0.690 states/eV per atom. As for the spin magnetization: 0.0 μB/cell.

The structure belongs to space group R-3m (No. 166, hexagonal axes); the cell edges are 3.0411, 3.0411 and 28.0002 Å and the angles 90.00°, 90.00° and 120.00°. Symmetry generates all atoms from Al at (0.0000, 0.0000, 0.0000), Hg at (0.0000, 0.0000, 0.2515) and W at (0.0000, 0.0000, 0.5000).

=====

No. 12
First-principles (PBE) data for crystalline RbOsW2 at its relaxed geometry, as listed in Alexandria.

The value obtained for the distance to the lowest polymorph of the same formula is 0.104 eV/atom. For the raw total energy, the calculation gives -7.554 eV per atom. Its density of states at the Fermi level is 1.368 states/eV per atom. As for the spin magnetization: 0.0 μB/cell.

The structure belongs to space group I-42d (No. 122); the cell edges are 5.193, 5.193 and 17.139 Å and the angles 90.00°, 90.00° and 90.00°. Symmetry generates all atoms from Rb at (0.000, 0.000, 0.000), Os at (0.000, 0.000, 0.500) and W at (0.006, 0.250, 0.625).

=====

No. 13
First-principles (PBE) data for crystalline PrNd5Ga2 at its relaxed geometry, as listed in Alexandria.

For the raw total energy, the calculation gives -4.507 eV per atom. Its density of states at the Fermi level is 1.277 states/eV per atom. As for the spin magnetization: 0.0 μB/cell.

The structure belongs to space group Immm (No. 71); the cell edges are 4.406, 9.929 and 11.276 Å and the angles 90.00°, 90.00° and 90.00°. Symmetry generates all atoms from Pr at (0.000, 0.000, 0.000), Nd at (0.000, 0.201, 0.349), Nd at (0.000, 0.500, 0.000) and Ga at (0.000, 0.500, 0.282).

=====

No. 14
First-principles (PBE) data for crystalline Sr2AcIn6 at its relaxed geometry, as listed in Alexandria.

For the raw total energy, the calculation gives -3.058 eV per atom. Its density of states at the Fermi level is 0.782 states/eV per atom. As for the spin magnetization: 0.0 μB/cell.

The structure belongs to space group P6/mmm (No. 191); the cell edges are 8.9296, 8.9296 and 3.9914 Å and the angles 90.00°, 90.00° and 120.00°. Symmetry generates all atoms from Sr at (0.3333, 0.6667, 0.0000), Ac at (0.0000, 0.0000, 0.0000) and In at (0.0000, 0.3341, 0.5000).

=====

No. 15
First-principles (PBE) data for crystalline Ba3CaSe4 at its relaxed geometry, as listed in Alexandria.

As for the energy relative to the elements, uncorrected: -2000 meV per atom. For the raw total energy, the calculation gives -4.714 eV per atom. Its density of states at the Fermi level is 0.000 states/eV per atom. As for the spin magnetization: 0.0 μB/cell.

The structure belongs to space group Cmmm (No. 65); the cell edges are 9.228, 13.044 and 4.613 Å and the angles 90.00°, 90.00° and 90.00°. Symmetry generates all atoms from Ba at (0.000, 0.000, 0.000), Ba at (0.250, 0.250, 0.500), Ca at (0.000, 0.500, 0.000), Se at (0.000, 0.259, 0.000) and Se at (0.233, 0.500, 0.500).

=====

No. 16
First-principles (PBE) data for crystalline NbInCo at its relaxed geometry, as listed in Alexandria.

The value obtained for the distance to the lowest polymorph of the same formula is 0.104 eV/atom. For the raw total energy, the calculation gives -6.540 eV per atom. Its density of states at the Fermi level is 0.736 states/eV per atom. As for the spin magnetization: 0.0 μB/cell.

The structure belongs to space group Fdd2 (No. 43); the cell edges are 10.102, 11.429 and 7.679 Å and the angles 90.00°, 90.00° and 90.00°. Symmetry generates all atoms from Nb at (0.027, 0.363, 0.000), In at (0.083, 0.383, 0.414) and Co at (0.068, 0.270, 0.725).

=====

No. 17
First-principles (PBE) data for crystalline ScPdRu3 at its relaxed geometry, as listed in Alexandria.

The value obtained for the distance to the lowest polymorph of the same formula is 0.134 eV/atom. For the raw total energy, the calculation gives -6.284 eV per atom. Its density of states at the Fermi level is 1.937 states/eV per atom. As for the spin magnetization: 2.7 μB/cell.

The structure belongs to space group Pm-3m (No. 221); the cell edges are 4.558, 4.558 and 4.558 Å and the angles 90.00°, 90.00° and 90.00°. Symmetry generates all atoms from Sc at (0.000, 0.000, 0.000), Pd at (0.500, 0.500, 0.500) and Ru at (0.000, 0.000, 0.500).

=====

No. 18
First-principles (PBE) data for crystalline Nb3HCl at its relaxed geometry, as listed in Alexandria.

The value obtained for the distance to the lowest polymorph of the same formula is 0.000 eV/atom. For the raw total energy, the calculation gives -6.647 eV per atom. Its density of states at the Fermi level is 0.691 states/eV per atom. As for the spin magnetization: 0.0 μB/cell.

The structure belongs to space group Pm-3m (No. 221); the cell edges are 4.228, 4.228 and 4.228 Å and the angles 90.00°, 90.00° and 90.00°. Symmetry generates all atoms from Nb at (0.000, 0.000, 0.500), H at (0.000, 0.000, 0.000) and Cl at (0.500, 0.500, 0.500).

=====

No. 19
First-principles (PBE) data for crystalline RbTlNi3 at its relaxed geometry, as listed in Alexandria.

The value obtained for the distance to the lowest polymorph of the same formula is 0.000 eV/atom. For the raw total energy, the calculation gives -3.103 eV per atom. Its density of states at the Fermi level is 1.086 states/eV per atom. As for the spin magnetization: 0.0 μB/cell.

The structure belongs to space group Pm-3m (No. 221); the cell edges are 4.991, 4.991 and 4.991 Å and the angles 90.00°, 90.00° and 90.00°. Symmetry generates all atoms from Rb at (0.000, 0.000, 0.000), Tl at (0.500, 0.500, 0.500) and Ni at (0.000, 0.500, 0.500).

=====

No. 20
First-principles (PBE) data for crystalline Dy8Ni2Os at its relaxed geometry, as listed in Alexandria.

The value obtained for the distance to the lowest polymorph of the same formula is 0.087 eV/atom. For the raw total energy, the calculation gives -5.549 eV per atom. Its density of states at the Fermi level is 1.102 states/eV per atom. As for the spin magnetization: 0.0 μB/cell.

The structure belongs to space group Cm (No. 8); the cell edges are 8.138, 12.532 and 5.931 Å and the angles 90.00°, 108.69° and 90.00°. Symmetry generates all atoms from Dy at (0.000, 0.000, 0.000), Dy at (0.064, 0.372, 0.783), Dy at (0.150, 0.129, 0.592), Dy at (0.215, 0.500, 0.352), Dy at (0.359, 0.214, 0.178), Ni at (0.355, 0.308, 0.677) and Os at (0.358, 0.000, 0.023).

=====

No. 21
First-principles (PBE) data for crystalline CdMoSe2 at its relaxed geometry, as listed in Alexandria.

The value obtained for the distance to the lowest polymorph of the same formula is 0.086 eV/atom. As for the energy relative to the elements, uncorrected: -214 meV per atom. For the raw total energy, the calculation gives -4.893 eV per atom. Its density of states at the Fermi level is 0.300 states/eV per atom. As for the spin magnetization: 0.0 μB/cell.

The structure belongs to space group P4/mmm (No. 123); the cell edges are 3.099, 3.099 and 9.318 Å and the angles 90.00°, 90.00° and 90.00°. Symmetry generates all atoms from Cd at (0.000, 0.000, 0.000), Mo at (0.000, 0.000, 0.500) and Se at (0.500, 0.500, 0.334).